[1]
VASP calculation (GGA-PBE) on SmGdSbAu after structural relaxation.

Properties
**Crystal system**: cubic
**Raw formation energy**: -0.82 eV per atom
**Electronic total energy**: -7.367 eV per atom

abc: 5.292 5.292 5.292
angles: 60.00 60.00 60.00
Element x y z (fractional)
Sm  0.000  0.000  0.000
Gd  0.500  0.500  0.500
Sb  0.750  0.750  0.750
Au  0.250  0.250  0.250

***

[2]
VASP calculation (GGA-PBE) on Sm2GaCu4Si3 after structural relaxation.

Properties
**Crystal system**: tetragonal
**Raw formation energy**: -0.54 eV per atom
**Electronic total energy**: -5.054 eV per atom

abc: 4.061 4.061 10.064
angles: 90.00 90.00 90.00
Element x y z (fractional)
Sm  0.000  0.500  0.244
Sm  0.500  0.000  0.756
Ga  0.000  0.000  0.500
Cu  0.000  0.000  0.000
Cu  0.000  0.500  0.637
Cu  0.500  0.000  0.363
Cu  0.500  0.500  0.000
Si  0.000  0.500  0.871
Si  0.500  0.000  0.129
Si  0.500  0.500  0.500

***

[3]
VASP calculation (GGA-PBE) on LiTcPt2 after structural relaxation.

Properties
**Crystal system**: cubic
**Energy above the lowest structure with this stoichiometry**: 27.6 kJ per mole of atoms
**Electronic total energy**: -6.144 eV per atom
**Formation enthalpy at 0 K**: -0.05 eV per atom

abc: 4.368 4.368 4.368
angles: 60.00 60.00 60.00
Element x y z (fractional)
Li  0.000  0.000  0.000
Tc  0.500  0.500  0.500
Pt  0.250  0.250  0.250
Pt  0.750  0.750  0.750

***

[4]
VASP calculation (GGA-PBE) on Nd2PdPt after structural relaxation.

Properties
**Crystal system**: trigonal
**Electronic total energy**: -6.021 eV per atom
**Formation enthalpy at 0 K**: -0.83 eV per atom

abc: 7.492 7.492 7.492
angles: 32.33 32.33 32.33
Element x y z (fractional)
Nd  0.000  0.000  0.000
Nd  0.176  0.176  0.176
Pd  0.424  0.424  0.424
Pt  0.587  0.587  0.587

***

[5]
VASP calculation (GGA-PBE) on MnHgS2 after structural relaxation.

Properties
**Crystal system**: tetragonal
**Energy above the lowest structure with this stoichiometry**: 28.5 kJ per mole of atoms
**Raw formation energy**: -0.12 eV per atom
**Electronic total energy**: -4.547 eV per atom

abc: 6.416 6.416 6.416
angles: 122.53 122.53 85.67
Element x y z (fractional)
Mn  0.000  0.000  0.000
Mn  0.750  0.250  0.500
Hg  0.250  0.750  0.500
Hg  0.500  0.500  0.000
S  0.012  0.625  0.887
S  0.375  0.262  0.387
S  0.738  0.125  0.113
S  0.875  0.988  0.613

***

[6]
VASP calculation (GGA-PBE) on PrEr3Hg4 after structural relaxation.

Properties
**Crystal system**: orthorhombic
**Electronic total energy**: -2.928 eV per atom
**Formation enthalpy at 0 K**: -0.47 eV per atom

abc: 10.477 7.608 5.237
angles: 90.00 90.00 90.00
Element x y z (fractional)
Pr  0.000  0.000  0.000
Pr  0.500  0.000  0.000
Er  0.000  0.500  0.000
Er  0.250  0.000  0.499
Er  0.250  0.500  0.499
Er  0.500  0.500  0.000
Er  0.750  0.000  0.501
Er  0.750  0.500  0.501
Hg  0.000  0.264  0.500
Hg  0.000  0.736  0.500
Hg  0.250  0.264  0.999
Hg  0.250  0.736  0.999
Hg  0.500  0.264  0.500
Hg  0.500  0.736  0.500
Hg  0.750  0.264  0.001
Hg  0.750  0.736  0.001

***

[7]
VASP calculation (GGA-PBE) on Tb2Cu2Si3 after structural relaxation.

Properties
**Crystal system**: orthorhombic
**Raw formation energy**: -0.66 eV per atom
**Electronic total energy**: -5.479 eV per atom

abc: 9.066 9.066 6.608
angles: 90.00 90.00 153.28
Element x y z (fractional)
Tb  0.051  0.949  0.750
Tb  0.158  0.842  0.250
Tb  0.842  0.158  0.750
Tb  0.949  0.051  0.250
Cu  0.311  0.689  0.060
Cu  0.311  0.689  0.440
Cu  0.689  0.311  0.560
Cu  0.689  0.311  0.940
Si  0.222  0.778  0.750
Si  0.439  0.561  0.569
Si  0.439  0.561  0.931
Si  0.561  0.439  0.069
Si  0.561  0.439  0.431
Si  0.778  0.222  0.250

***

[8]
VASP calculation (GGA-PBE) on Cs2SrCd2Se4 after structural relaxation.

Properties
**Crystal system**: monoclinic
**Raw formation energy**: -1.18 eV per atom
**Electronic total energy**: -3.311 eV per atom

abc: 8.835 8.835 8.607
angles: 108.14 108.14 29.49
Element x y z (fractional)
Cs  0.126  0.126  0.047
Cs  0.874  0.874  0.953
Sr  0.000  0.000  0.500
Cd  0.330  0.330  0.525
Cd  0.670  0.670  0.475
Se  0.205  0.205  0.670
Se  0.480  0.480  0.736
Se  0.520  0.520  0.264
Se  0.795  0.795  0.330

***

Question: Among the records above, which one has the highest electronic total energy?
Answer: PrEr3Hg4